(1)
Computed, not measured: a geometry-optimized Ta2SnPtCl structure at the PBE level of DFT.

Cell: 5.2151 5.2151 4.8807 Å, 90.00 90.00 90.00°
With the nearest neighbours (Å) after each atom.
Fractional coordinates of all 5 atoms:
Ta 0.0000 0.5000 0.0000  2 Sn 2.61
Ta 0.5000 0.0000 0.0000  2 Sn 2.61
Sn 0.0000 0.0000 0.0000  2 Cl 2.44, 4 Ta 2.61
Pt 0.5000 0.5000 0.5000  8 Ta 3.57, 4 Cl 3.69
Cl 0.0000 0.0000 0.5000  2 Sn 2.44

Summary:
Calculated density, g/cm3: 8.90

***

(2)
Computed, not measured: a geometry-optimized MnCuS2 structure at the PBE level of DFT.

Cell: 6.0887 3.7415 12.5200 Å, 90.00 104.77 90.00°
With the nearest neighbours (Å) after each atom.
Fractional coordinates of all 16 atoms:
Mn 0.2130 0.2448 0.4833  4 S 2.39-2.41, 1 Cu 2.65
Mn 0.2130 0.2552 0.9833  4 S 2.39-2.41, 1 Cu 2.65
Mn 0.7870 0.7448 0.0167  4 S 2.39-2.41, 1 Cu 2.65
Mn 0.7870 0.7552 0.5167  4 S 2.39-2.41, 1 Cu 2.65
Cu 0.3683 0.2383 0.2012  4 S 2.29-2.41
Cu 0.3683 0.2617 0.7012  4 S 2.29-2.41
Cu 0.6317 0.7383 0.2988  4 S 2.29-2.41
Cu 0.6317 0.7617 0.7988  4 S 2.29-2.41
S 0.0114 0.7446 0.3838  1 Cu 2.29, 3 Mn 2.40-2.41
S 0.0114 0.7554 0.8838  1 Cu 2.29, 3 Mn 2.40-2.41
S 0.4892 0.7414 0.1098  3 Cu 2.30-2.41, 1 Mn 2.39
S 0.4892 0.7586 0.6098  3 Cu 2.30-2.41, 1 Mn 2.39
S 0.5108 0.2414 0.3902  3 Cu 2.30-2.41, 1 Mn 2.39
S 0.5108 0.2586 0.8902  3 Cu 2.30-2.41, 1 Mn 2.39
S 0.9886 0.2446 0.1162  1 Cu 2.29, 3 Mn 2.40-2.41
S 0.9886 0.2554 0.6162  1 Cu 2.29, 3 Mn 2.40-2.41

Summary:
Calculated density, g/cm3: 4.40

***

(3)
Computed, not measured: a geometry-optimized CaTbPr6Ho2 structure at the PBE level of DFT.

Cell: 9.0673 9.0673 9.9434 Å, 94.44 94.44 118.35°
With the nearest neighbours (Å) after each atom.
Fractional coordinates of all 20 atoms:
Ca 0.0982 0.9018 0.7500  6 Pr 3.59-3.68, 2 Ho 3.68
Ca 0.9018 0.0982 0.2500  6 Pr 3.59-3.68, 2 Ho 3.68
Tb 0.4725 0.5275 0.2500  4 Ho 3.45-3.50, 4 Pr 3.68-3.70
Tb 0.5275 0.4725 0.7500  4 Ho 3.45-3.50, 4 Pr 3.68-3.70
Pr 0.0012 0.7911 0.3778  3 Pr 3.30-3.45, 3 Ho 3.34-3.51, 2 Ca 3.60-3.68
Pr 0.0672 0.5258 0.1777  3 Pr 3.30-3.70, 1 Ho 3.56, 1 Ca 3.59, 1 Tb 3.68
Pr 0.2089 0.9988 0.1222  3 Pr 3.30-3.45, 3 Ho 3.34-3.51, 2 Ca 3.60-3.68
Pr 0.2643 0.6121 0.5525  5 Pr 3.45-3.86, 1 Ho 3.47, 1 Tb 3.70
Pr 0.3879 0.7357 0.9475  5 Pr 3.45-3.86, 1 Ho 3.47, 1 Tb 3.70
Pr 0.4742 0.9328 0.3223  3 Pr 3.30-3.70, 1 Ho 3.56, 1 Ca 3.59, 1 Tb 3.68
Pr 0.5258 0.0672 0.6777  3 Pr 3.30-3.70, 1 Ho 3.56, 1 Ca 3.59, 1 Tb 3.68
Pr 0.6121 0.2643 0.0525  5 Pr 3.45-3.86, 1 Ho 3.47, 1 Tb 3.70
Pr 0.7357 0.3879 0.4475  5 Pr 3.45-3.86, 1 Ho 3.47, 1 Tb 3.70
Pr 0.7911 0.0012 0.8778  3 Pr 3.30-3.45, 3 Ho 3.34-3.51, 2 Ca 3.60-3.68
Pr 0.9328 0.4742 0.8223  3 Pr 3.30-3.70, 1 Ho 3.56, 1 Ca 3.59, 1 Tb 3.68
Pr 0.9988 0.2089 0.6222  3 Pr 3.30-3.45, 3 Ho 3.34-3.51, 2 Ca 3.60-3.68
Ho 0.2048 0.3030 0.9557  6 Pr 3.34-3.70, 2 Tb 3.45-3.50, 1 Ca 3.68
Ho 0.3030 0.2048 0.4557  6 Pr 3.34-3.70, 2 Tb 3.45-3.50, 1 Ca 3.68
Ho 0.6970 0.7952 0.5443  6 Pr 3.34-3.70, 2 Tb 3.45-3.50, 1 Ca 3.68
Ho 0.7952 0.6970 0.0443  6 Pr 3.34-3.70, 2 Tb 3.45-3.50, 1 Ca 3.68

Summary:
Calculated density, g/cm3: 6.42

***

Number 1: VASP energy -5.16 eV per atom. Number 2: VASP energy -5.77 eV per atom. Number 3: VASP energy -4.32 eV per atom.